# 1
Cu3Pb after structural relaxation, computed with GGA-PBEsol.

Cell and atoms, written as POSCAR:
```
Cu3Pb
1.0
-2.6399 1.5098 0.7129
-0.4456 -1.9220 2.4217
3.2243 3.8971 3.6863
Cu Pb
3 1
Cartesian
2.2356 2.7021 2.5559 Cu
0.0694 1.7425 3.4104 Cu
0.9887 1.1950 1.1303 Cu
-1.5427 -0.2061 1.5673 Pb
```

Output
The density of states at the Fermi level is 1.23 states/eV/cell. For the energy of formation, the calculation gives 0.230 eV per atom. The calculation puts the total magnetization at 0.0000 μB per atom. Its space group is P4/mmm, No. 123.


# 2
CuPb3 after structural relaxation, computed with GGA-PBEsol.

Cell and atoms, written as POSCAR:
```
CuPb3
1.0
-0.1747 -1.5062 2.9928
-2.7244 -4.1409 -3.4966
6.0080 0.5611 -0.6206
Cu Pb
1 3
Cartesian
0.0000 0.0000 0.0000 Cu
2.9167 -0.4725 1.1861 Pb
-1.4496 -2.8235 -0.2519 Pb
1.6418 -1.7899 -2.0586 Pb
```

Output
The density of states at the Fermi level is 1.89 states/eV/cell. For the energy of formation, the calculation gives 0.363 eV per atom. The calculation puts the total magnetization at 0.0000 μB per atom. Its space group is R-3m, No. 166.


# 3
CuPb after structural relaxation, computed with GGA-PBEsol.

Cell and atoms, written as POSCAR:
```
CuPb
1.0
-1.9835 2.5865 1.1717
-1.0022 -2.2350 3.2374
4.6735 2.2308 2.9870
Cu Pb
2 2
Cartesian
2.1317 -0.2999 4.2709 Cu
1.5396 0.2957 1.9535 Cu
-0.6839 0.1227 3.6910 Pb
2.3718 2.4596 3.7050 Pb
```

Output
The density of states at the Fermi level is 1.25 states/eV/cell. For the energy of formation, the calculation gives 0.248 eV per atom. The calculation puts the total magnetization at 0.0000 μB per atom. Its space group is Pmma, No. 51.


# 4
CuPtPb2 after structural relaxation, computed with GGA-PBEsol.

Cell and atoms, written as POSCAR:
```
CuPtPb2
1.0
-1.2667 3.3921 -2.0870
-2.2615 -2.2277 1.9364
3.6783 4.2075 4.6060
Cu Pb Pt
1 2 1
Cartesian
-0.6333 1.6960 -1.0435 Cu
0.6660 4.5879 2.8680 Pb
-0.5158 0.7840 1.5873 Pb
1.8392 2.1038 2.3030 Pt
```

Output
The density of states at the Fermi level is 1.86 states/eV/cell. For the energy of formation, the calculation gives 0.181 eV per atom. The calculation puts the total magnetization at 0.0000 μB per atom. Its space group is C2/m, No. 12. The polymorph energy (0 for the lowest one) comes out at 0.004 eV/atom.


# 5
CuPtPb2 after structural relaxation, computed with GGA-PBEsol.

Cell and atoms, written as POSCAR:
```
CuPtPb2
1.0
-1.8738 -1.0823 2.7685
3.4094 -3.1893 1.0608
2.1860 3.2519 2.7509
Cu Pb Pt
1 2 1
Cartesian
-0.9369 -0.5412 1.3842 Cu
1.0930 1.6260 1.3755 Pb
1.7047 -1.5947 0.5304 Pb
1.8608 -0.5099 3.2901 Pt
```

Output
The density of states at the Fermi level is 1.67 states/eV/cell. For the energy of formation, the calculation gives 0.177 eV per atom. The calculation puts the total magnetization at 0.0000 μB per atom. Its space group is P4/mmm, No. 123. The polymorph energy (0 for the lowest one) comes out at 0.000 eV/atom.


# 6
RbCu2Pb2 after structural relaxation, computed with GGA-PBEsol.

Cell and atoms, written as POSCAR:
```
RbCu2Pb2
1.0
4.7855 0.0000 0.0000
0.0000 4.7855 0.0000
-2.3927 -2.3927 5.4807
Pb Cu Rb
2 2 1
Cartesian
0.0000 2.3927 2.7403 Pb
2.3927 0.0000 2.7403 Pb
0.0000 0.0000 4.2113 Cu
2.3927 2.3927 1.2694 Cu
0.0000 0.0000 0.0000 Rb
```

Output
The density of states at the Fermi level is 2.50 states/eV/cell. For the energy of formation, the calculation gives 0.225 eV per atom. The calculation puts the total magnetization at 0.0000 μB per atom. Its space group is I4/mmm, No. 139.


# 7
Cu2RePb after structural relaxation, computed with GGA-PBEsol.

Cell and atoms, written as POSCAR:
```
Cu2RePb
1.0
-0.0999 2.0228 1.9766
-4.3414 -1.5385 1.3549
3.4252 -2.2632 2.4892
Cu Pb Re
2 1 1
Cartesian
-2.1707 -0.7693 0.6775 Cu
1.7126 -1.1316 1.2446 Cu
-0.0500 1.0114 0.9883 Pb
-0.5080 -0.8895 2.9104 Re
```

Output
The density of states at the Fermi level is 2.02 states/eV/cell. For the energy of formation, the calculation gives 0.654 eV per atom. The calculation puts the total magnetization at 0.0002 μB per atom. Its space group is Cmmm, No. 65. The polymorph energy (0 for the lowest one) comes out at 0.000 eV/atom.


# 8
Cu2RePb after structural relaxation, computed with GGA-PBEsol.

Cell and atoms, written as POSCAR:
```
Cu2RePb
1.0
2.9967 0.0000 0.0000
0.0000 4.5430 0.0000
-1.4983 -2.2715 4.6240
Cu Pb Re
2 1 1
Cartesian
1.4983 2.2715 2.1853 Cu
0.0000 0.0000 2.4387 Cu
1.4983 0.0000 0.0000 Pb
0.0000 2.2715 0.0000 Re
```

Output
The density of states at the Fermi level is 1.74 states/eV/cell. For the energy of formation, the calculation gives 0.749 eV per atom. The calculation puts the total magnetization at 0.0000 μB per atom. Its space group is Immm, No. 71. The polymorph energy (0 for the lowest one) comes out at 0.095 eV/atom.


# 9
CuRe2RhPb after structural relaxation, computed with GGA-PBEsol.

Cell and atoms, written as POSCAR:
```
CuRe2RhPb
1.0
4.5107 0.0000 0.0000
0.0000 4.9421 0.0000
0.0000 0.0000 4.9421
Pb Re Rh Cu
1 2 1 1
Cartesian
0.0000 0.0000 0.0000 Pb
0.0000 0.0000 2.4710 Re
0.0000 2.4710 0.0000 Re
2.2554 2.4710 2.4710 Rh
2.2554 0.0000 0.0000 Cu
```

Output
The density of states at the Fermi level is 5.96 states/eV/cell. For the energy of formation, the calculation gives 3.025 eV per atom. The calculation puts the total magnetization at 0.7991 μB per atom. Its space group is P4/mmm, No. 123.


# 10
CuRhPb2 after structural relaxation, computed with GGA-PBEsol.

Cell and atoms, written as POSCAR:
```
CuRhPb2
1.0
3.6375 0.0000 0.0000
0.0000 4.1298 0.0000
-1.8187 0.0000 5.1240
Cu Pb Rh
1 2 1
Cartesian
1.8187 2.0649 1.7855 Cu
0.0000 0.0000 1.1349 Pb
0.0000 2.0649 4.0973 Pb
1.8187 0.0000 3.3645 Rh
```

Output
The density of states at the Fermi level is 2.28 states/eV/cell. For the energy of formation, the calculation gives 0.062 eV per atom. The calculation puts the total magnetization at 0.0000 μB per atom. Its space group is Amm2, No. 38.


# 11
Cu2RuPb after structural relaxation, computed with GGA-PBEsol.

Cell and atoms, written as POSCAR:
```
Cu2RuPb
1.0
3.1477 0.0000 0.0000
0.0000 4.3210 0.0000
-1.5738 -2.1605 4.4595
Cu Pb Ru
2 1 1
Cartesian
1.5738 2.1605 2.1593 Cu
0.0000 0.0000 2.3002 Cu
1.5738 0.0000 0.0000 Pb
0.0000 2.1605 0.0000 Ru
```

Output
The density of states at the Fermi level is 3.41 states/eV/cell. For the energy of formation, the calculation gives 0.454 eV per atom. The calculation puts the total magnetization at 0.0003 μB per atom. Its space group is Immm, No. 71.


# 12
CuRuPb2 after structural relaxation, computed with GGA-PBEsol.

Cell and atoms, written as POSCAR:
```
CuRuPb2
1.0
-2.4552 0.3372 -2.3467
-2.7283 -1.2694 2.6719
-0.8405 5.2432 1.6328
Cu Pb Ru
1 2 1
Cartesian
-3.2415 3.5874 1.4249 Cu
-0.7999 4.9896 1.5538 Pb
-2.8469 1.1255 0.6582 Pb
-0.3965 2.4732 0.7702 Ru
```

Output
The density of states at the Fermi level is 1.99 states/eV/cell. For the energy of formation, the calculation gives 0.460 eV per atom. The calculation puts the total magnetization at 0.0001 μB per atom. Its space group is Pmm2, No. 25. The polymorph energy (0 for the lowest one) comes out at 0.000 eV/atom.


# 13
CuRuPb2 after structural relaxation, computed with GGA-PBEsol.

Cell and atoms, written as POSCAR:
```
CuRuPb2
1.0
-3.2094 0.6963 0.9755
0.7292 -1.0785 3.1689
1.7726 5.9197 1.6069
Cu Pb Ru
1 2 1
Cartesian
-0.3538 2.7687 2.8756 Cu
1.3334 4.4528 1.2087 Pb
0.4392 1.4668 0.3982 Pb
-1.2401 -0.1911 2.0722 Ru
```

Output
The density of states at the Fermi level is 2.97 states/eV/cell. For the energy of formation, the calculation gives 0.484 eV per atom. The calculation puts the total magnetization at 0.1414 μB per atom. Its space group is P4/mmm, No. 123. The polymorph energy (0 for the lowest one) comes out at 0.024 eV/atom.


# 14
CuPbS2 after structural relaxation, computed with GGA-PBEsol.

Cell and atoms, written as POSCAR:
```
CuPbS2
1.0
-0.3612 -1.5817 2.9900
2.2785 -2.3289 0.9784
5.0386 4.5176 4.9336
Pb S Cu
1 2 1
Cartesian
0.0000 0.0000 0.0000 Pb
3.4411 -1.8944 5.2191 S
3.5148 2.5014 3.6830 S
3.4780 0.3035 4.4510 Cu
```

Output
The density of states at the Fermi level is 2.76 states/eV/cell. The uncorrected formation energy comes out at -0.04 eV/atom. The calculation puts the total magnetization at 0.0002 μB per atom. Its space group is R-3m, No. 166.


# 15
CuPb3S after structural relaxation, computed with GGA-PBEsol.

Cell and atoms, written as POSCAR:
```
CuPb3S
1.0
-2.8315 -4.0903 1.1604
4.1674 -2.3936 1.7315
-0.8427 1.9065 4.6637
Pb S Cu
3 1 1
Cartesian
2.0837 -1.1968 0.8658 Pb
-0.4214 0.9532 2.3319 Pb
-1.4158 -2.0452 0.5802 Pb
0.2466 -2.2888 3.7778 S
0.0000 0.0000 0.0000 Cu
```

Output
The density of states at the Fermi level is 2.41 states/eV/cell. The uncorrected formation energy comes out at 0.29 eV/atom. The calculation puts the total magnetization at 0.0001 μB per atom. Its space group is Pm-3m, No. 221.


# 16
CuSbPbS3 after structural relaxation, computed with GGA-PBEsol.

Cell and atoms, written as POSCAR:
```
CuSbPbS3
1.0
-3.5302 -2.7837 6.2989
5.2515 -6.0394 0.2742
5.1591 4.7118 4.9737
Pb Sb S Cu
4 4 12 4
Cartesian
5.6542 -4.6399 5.8722 Pb
5.5340 4.2427 4.9765 Pb
2.1674 -3.9378 4.2283 Pb
5.8144 0.6123 3.5292 Pb
-1.1122 -1.5933 3.4263 Sb
7.7106 -2.9957 2.9975 Sb
4.2403 -1.2154 6.5931 Sb
3.5320 -2.3015 0.9624 Sb
8.1611 -0.8594 4.1941 S
2.7299 -0.0381 1.5131 S
4.5535 -1.8968 4.2193 S
6.3422 -2.2917 7.2955 S
6.4979 1.3747 6.4975 S
1.2165 0.2548 8.0362 S
2.8839 -3.2133 7.1982 S
3.0641 1.7118 4.7395 S
4.6372 -0.0925 9.8174 S
4.4985 -5.4202 2.6138 S
1.0102 -1.3798 4.7102 S
2.8159 -6.7470 5.6160 S
2.8409 -0.3617 3.7457 Cu
5.9374 -2.0221 9.5012 Cu
1.0287 -1.7908 6.9793 Cu
7.6553 -0.6674 6.4359 Cu
```

Output
The uncorrected formation energy comes out at -0.36 eV/atom. The calculation puts the total magnetization at 0.0000 μB per atom. Its space group is Pmn2_1, No. 31.


# 17
Cu2SiPbS4 after structural relaxation, computed with GGA-PBEsol.

Cell and atoms, written as POSCAR:
```
Cu2SiPbS4
1.0
-3.4105 2.5739 -4.1905
-2.2029 -0.9501 5.4828
4.8943 13.4932 4.3045
Cu Si Pb S
6 3 3 12
Cartesian
-0.2590 10.7856 5.8833 Cu
-1.2200 4.9049 -1.2202 Cu
0.5966 8.5813 2.5788 Cu
0.3340 5.2907 5.0450 Cu
-1.6964 1.6762 1.2952 Cu
0.0876 14.1123 3.2083 Cu
2.4939 11.7027 3.9519 Si
-0.7653 1.5670 4.6524 Si
-0.0005 8.5938 -0.8552 Si
-0.9940 5.2572 2.0393 Pb
2.0903 8.4897 5.7881 Pb
-1.8153 1.3701 -2.2306 Pb
1.7935 13.6132 4.6011 S
-3.1801 3.2208 2.1180 S
-3.0344 5.8100 -0.2262 S
0.7266 10.5061 3.8708 S
0.5072 13.3708 1.0780 S
1.3001 10.9547 7.5581 S
-0.5128 3.0254 -0.1104 S
1.3782 6.6635 3.5320 S
1.2028 9.5472 0.6297 S
-1.6497 8.1157 2.6147 S
-0.9382 0.3156 2.9302 S
-1.9074 5.5589 4.9848 S
```

Output
The uncorrected formation energy comes out at -0.50 eV/atom. The calculation puts the total magnetization at 0.0000 μB per atom. Its space group is P3_221, No. 154.


# 18
TiCuPbS2 after structural relaxation, computed with GGA-PBEsol.

Cell and atoms, written as POSCAR:
```
TiCuPbS2
1.0
4.4318 0.0000 0.0000
0.0000 4.4318 0.0000
0.0000 0.0000 5.1202
Pb S Cu Ti
1 2 1 1
Cartesian
0.0000 0.0000 2.5601 Pb
0.0000 2.2159 0.0000 S
2.2159 0.0000 0.0000 S
0.0000 0.0000 0.0000 Cu
2.2159 2.2159 2.5601 Ti
```

Output
The density of states at the Fermi level is 4.74 states/eV/cell. The uncorrected formation energy comes out at 0.44 eV/atom. The calculation puts the total magnetization at 0.1303 μB per atom. Its space group is P4/mmm, No. 123.


# 19
YCuPbS3 after structural relaxation, computed with GGA-PBEsol.

Cell and atoms, written as POSCAR:
```
YCuPbS3
1.0
3.8614 0.0000 0.0000
-1.9307 6.4071 0.0000
0.0000 0.0000 10.0851
Pb Y S Cu
2 2 6 2
Cartesian
0.0000 3.2526 7.5638 Pb
1.9307 3.1545 2.5213 Pb
1.9307 0.0000 0.0000 Y
1.9307 0.0000 5.0425 Y
0.0000 5.4407 2.5213 S
1.9307 0.9664 7.5638 S
0.0000 1.7850 4.3585 S
0.0000 1.7850 0.6840 S
1.9307 4.6221 5.7266 S
1.9307 4.6221 9.4010 S
1.9307 6.0110 7.5638 Cu
0.0000 0.3961 2.5213 Cu
```

Output
The uncorrected formation energy comes out at -1.15 eV/atom. The calculation puts the total magnetization at 0.0000 μB per atom. Its space group is Cmcm, No. 63.


# 20
YCuPbS3 after structural relaxation, computed with GGA-PBEsol.

Cell and atoms, written as POSCAR:
```
YCuPbS3
1.0
-2.1154 3.1591 0.6809
-2.3153 0.5730 -9.8513
-10.3040 -7.3300 1.9953
Y Cu Pb S
4 4 4 12
Cartesian
-4.1186 -0.6982 -4.0787 Y
-10.6162 -2.8997 -3.0964 Y
-5.4715 -0.5507 -8.9665 Y
-9.2632 -3.0473 1.7915 Y
-10.3356 -4.4831 -5.8332 Cu
-4.3992 0.8852 -1.3418 Cu
-8.5734 -4.3396 -1.0246 Cu
-6.1614 0.7416 -6.1504 Cu
-7.3347 -2.4537 -5.9258 Pb
-7.4001 -1.1442 -1.2492 Pb
-1.0506 0.9066 -1.9929 Pb
-13.6841 -4.5046 -5.1821 Pb
-4.4306 -1.4655 -1.4880 S
-10.3042 -2.1324 -5.6870 S
-4.0220 -0.0649 -6.7169 S
-10.7127 -3.5330 -0.4581 S
-7.9381 -3.4729 -3.0720 S
-6.7966 -0.1250 -4.1030 S
-11.8360 -5.1357 -7.4670 S
-2.8988 1.5378 0.2920 S
-6.9893 -3.5988 0.4601 S
-7.7455 0.0009 -7.6351 S
-11.1143 -5.4232 -3.8909 S
-3.6205 1.8253 -3.2841 S
```

Output
The uncorrected formation energy comes out at -1.15 eV/atom. The calculation puts the total magnetization at 0.0000 μB per atom. Its space group is Pnma, No. 62.